Run i
Compound: KPdNO
Source: OQMD
Functional: PBE
Structure: optimized geometry

Lattice parameters (Å, degrees): 3.786 5.991 6.375 90.00 90.00 90.00
Space group Pmc2_1 (No. 26)
Symmetry-distinct sites (fractional):
K: 0.000 0.185 0.000 (multiplicity 2)
Pd: 0.500 0.363 0.544 (multiplicity 2)
N: 0.500 0.410 0.249 (multiplicity 2)
O: 0.000 0.236 0.580 (multiplicity 2)


Run ii
Compound: KPdNO
Source: OQMD
Functional: PBE
Structure: optimized geometry

Lattice parameters (Å, degrees): 3.883 3.883 9.761 90.00 90.00 90.00
Space group P4/nmm (No. 129, origin choice 2)
Symmetry-distinct sites (fractional):
K: 0.250 0.250 0.176 (multiplicity 2)
Pd: 0.250 0.750 0.500 (multiplicity 2)
N: 0.250 0.250 0.580 (multiplicity 2)
O: 0.250 0.750 0.000 (multiplicity 2)


Run iii
Compound: KPdNO
Source: OQMD
Functional: PBE
Structure: optimized geometry

Lattice parameters (Å, degrees): 6.042 8.300 5.730 90.00 90.00 90.00
Space group Pca2_1 (No. 29)
Symmetry-distinct sites (fractional):
K: 0.048 0.166 0.000 (multiplicity 4)
Pd: 0.077 0.624 0.992 (multiplicity 4)
N: 0.033 0.837 0.001 (multiplicity 4)
O: 0.135 0.528 0.655 (multiplicity 4)


Short version: run i is the most stable of them.


Run i
Compound: KTbNO
Source: OQMD
Functional: PBE
Structure: optimized geometry

Lattice parameters (Å, degrees): 3.662 3.662 4.764 90.00 90.00 90.00
Space group P4/mmm (No. 123)
Symmetry-distinct sites (fractional):
K: 0.000 0.000 0.000 (multiplicity 1)
Tb: 0.500 0.500 0.500 (multiplicity 1)
N: 0.000 0.000 0.500 (multiplicity 1)
O: 0.500 0.500 0.000 (multiplicity 1)


Run ii
Compound: KTbNO
Source: OQMD
Functional: PBE
Structure: optimized geometry

Lattice parameters (Å, degrees): 6.780 8.778 6.074 90.00 90.00 90.00
Space group Pca2_1 (No. 29)
Symmetry-distinct sites (fractional):
K: 0.073 0.121 0.000 (multiplicity 4)
Tb: 0.092 0.601 0.951 (multiplicity 4)
N: 0.024 0.176 0.538 (multiplicity 4)
O: 0.110 0.567 0.591 (multiplicity 4)


Run iii
Compound: KTbNO
Source: OQMD
Functional: PBE
Structure: optimized geometry

Lattice parameters (Å, degrees): 3.695 7.383 6.375 90.00 90.00 90.00
Space group Pmc2_1 (No. 26)
Symmetry-distinct sites (fractional):
K: 0.000 0.158 0.000 (multiplicity 2)
Tb: 0.500 0.336 0.491 (multiplicity 2)
N: 0.500 0.390 0.839 (multiplicity 2)
O: 0.000 0.193 0.421 (multiplicity 2)


Short version: run iii is the most stable of them.